# 1
The following is a DFT calculation (PBE) of a geometry-optimized SmDyZn4 structure.

The density of states at the Fermi level comes out at 0.922 states/eV/atom. Its crystal system is orthorhombic. The value obtained for the relative energy among the computed polymorphs is 0.0 meV per atom.

The structure belongs to space group Immm (No. 71); the cell edges are 4.5063, 7.1115 and 7.7888 Å and the angles 90.00°, 90.00° and 90.00°. The asymmetric unit holds Sm at (0.0000, 0.0000, 0.0000), Dy at (0.0000, 0.5000, 0.0000) and Zn at (0.0000, 0.2475, 0.3335).

=====

# 2
The following is a DFT calculation (PBE) of a geometry-optimized SmDy4Zn4 structure.

The density of states at the Fermi level comes out at 0.926 states/eV/atom. Its crystal system is tetragonal. The uncorrected energy is -59.031 eV per cell.

The structure belongs to space group I4/m (No. 87); the cell edges are 9.5127, 9.5127 and 5.0783 Å and the angles 90.00°, 90.00° and 90.00°. The asymmetric unit holds Sm at (0.0000, 0.0000, 0.0000), Dy at (0.1090, 0.3481, 0.0000) and Zn at (0.0776, 0.1812, 0.5000).

=====

# 3
The following is a DFT calculation (PBE) of a geometry-optimized Sm3DyZn8 structure.

The density of states at the Fermi level comes out at 0.460 states/eV/atom. Its crystal system is trigonal. The value obtained for the relative energy among the computed polymorphs is 0.0 meV per atom.

The structure belongs to space group R3m (No. 160, hexagonal axes); the cell edges are 5.5244, 5.5244 and 26.9374 Å and the angles 90.00°, 90.00° and 120.00°. The asymmetric unit holds Sm at (0.0000, 0.0000, 0.0000), Sm at (0.0000, 0.0000, 0.1248), Sm at (0.0000, 0.0000, 0.4996), Dy at (0.0000, 0.0000, 0.6243), Zn at (0.0000, 0.0000, 0.3122), Zn at (0.0000, 0.0000, 0.8121), Zn at (0.0008, 0.5004, 0.5628) and Zn at (0.1672, 0.3344, 0.3949).

=====

# 4
The following is a DFT calculation (PBE) of a geometry-optimized Sm2DyZn structure.

The density of states at the Fermi level comes out at 0.958 states/eV/atom. Its crystal system is tetragonal. The value obtained for the relative energy among the computed polymorphs is 0.0 meV per atom.

The structure belongs to space group P4/mmm (No. 123); the cell edges are 3.6252, 3.6252 and 8.6709 Å and the angles 90.00°, 90.00° and 90.00°. The asymmetric unit holds Sm at (0.0000, 0.0000, 0.2103), Dy at (0.5000, 0.5000, 0.5000) and Zn at (0.5000, 0.5000, 0.0000).

=====

# 5
The following is a DFT calculation (PBE) of a geometry-optimized SmDyZn10 structure.

The density of states at the Fermi level comes out at 0.442 states/eV/atom. Its crystal system is orthorhombic. The uncorrected energy is -25.483 eV per cell.

The structure belongs to space group Pmmm (No. 47); the cell edges are 4.2248, 5.3353 and 9.2197 Å and the angles 90.00°, 90.00° and 90.00°. The asymmetric unit holds Sm at (0.0000, 0.0000, 0.0000), Dy at (0.0000, 0.5000, 0.5000), Zn at (0.0000, 0.0000, 0.3366), Zn at (0.0000, 0.5000, 0.1694), Zn at (0.5000, 0.0000, 0.5000), Zn at (0.5000, 0.2507, 0.2516) and Zn at (0.5000, 0.5000, 0.0000).

=====

# 6
The following is a DFT calculation (PBE) of a geometry-optimized SmDy2Zn5 structure.

The density of states at the Fermi level comes out at 0.399 states/eV/atom. Its crystal system is tetragonal. The uncorrected energy is -45.571 eV per cell.

The structure belongs to space group I4/mmm (No. 139); the cell edges are 4.8592, 4.8592 and 14.1599 Å and the angles 90.00°, 90.00° and 90.00°. The asymmetric unit holds Sm at (0.0000, 0.0000, 0.0000), Dy at (0.0000, 0.0000, 0.2681), Zn at (0.0000, 0.0000, 0.5000) and Zn at (0.0000, 0.5000, 0.1176).

=====

# 7
The following is a DFT calculation (PBE) of a geometry-optimized Sm3Dy2Zn3 structure.

The density of states at the Fermi level comes out at 1.206 states/eV/atom. Its crystal system is orthorhombic. The uncorrected energy is -58.167 eV per cell.

The structure belongs to space group Immm (No. 71); the cell edges are 3.6546, 5.2638 and 21.6011 Å and the angles 90.00°, 90.00° and 90.00°. The asymmetric unit holds Sm at (0.0000, 0.0000, 0.0000), Sm at (0.0000, 0.5000, 0.1188), Dy at (0.0000, 0.0000, 0.2297), Zn at (0.0000, 0.0000, 0.5000) and Zn at (0.0000, 0.5000, 0.3824).

=====

# 8
The following is a DFT calculation (PBE) of a geometry-optimized SmDyZn structure.

The density of states at the Fermi level comes out at 1.494 states/eV/atom. Its crystal system is cubic. The value obtained for the relative energy among the computed polymorphs is 236.0 meV per atom.

The structure belongs to space group F-43m (No. 216); the cell edges are 7.0588, 7.0588 and 7.0588 Å and the angles 90.00°, 90.00° and 90.00°. The asymmetric unit holds Sm at (0.0000, 0.0000, 0.0000), Dy at (0.0000, 0.0000, 0.5000) and Zn at (0.2500, 0.2500, 0.7500).

=====

# 9
The following is a DFT calculation (PBE) of a geometry-optimized Sm12Dy3Zn structure.

The density of states at the Fermi level comes out at 1.472 states/eV/atom. Its crystal system is tetragonal. The uncorrected energy is -71.454 eV per cell.

The structure belongs to space group P4/mmm (No. 123); the cell edges are 5.0250, 5.0250 and 20.2777 Å and the angles 90.00°, 90.00° and 90.00°. The asymmetric unit holds Sm at (0.0000, 0.0000, 0.0000), Sm at (0.0000, 0.0000, 0.2427), Sm at (0.0000, 0.0000, 0.5000), Sm at (0.0000, 0.5000, 0.1178), Sm at (0.0000, 0.5000, 0.3724), Dy at (0.5000, 0.5000, 0.2453), Dy at (0.5000, 0.5000, 0.5000) and Zn at (0.5000, 0.5000, 0.0000).

=====

# 10
The following is a DFT calculation (PBE) of a geometry-optimized SmDy3Zn8 structure.

The density of states at the Fermi level comes out at 0.641 states/eV/atom. Its crystal system is trigonal. The uncorrected energy is -32.558 eV per cell.

The structure belongs to space group P3m1 (No. 156); the cell edges are 5.5661, 5.5661 and 8.6648 Å and the angles 90.00°, 90.00° and 120.00°. The asymmetric unit holds Sm at (0.0000, 0.0000, 0.0000), Dy at (0.0000, 0.0000, 0.3865), Dy at (0.6667, 0.3333, 0.5042), Dy at (0.6667, 0.3333, 0.8892), Zn at (0.1660, 0.3320, 0.6921), Zn at (0.3333, 0.6667, 0.4441), Zn at (0.3333, 0.6667, 0.9455) and Zn at (0.5017, 0.0033, 0.1966).

=====

# 11
The following is a DFT calculation (PBE) of a geometry-optimized Sm3DyZn8 structure.

The density of states at the Fermi level comes out at 0.581 states/eV/atom. Its crystal system is trigonal. The value obtained for the relative energy among the computed polymorphs is 14.7 meV per atom.

The structure belongs to space group P3m1 (No. 156); the cell edges are 5.6223, 5.6223 and 8.6746 Å and the angles 90.00°, 90.00° and 120.00°. The asymmetric unit holds Sm at (0.0000, 0.0000, 0.0000), Sm at (0.0000, 0.0000, 0.3919), Sm at (0.3333, 0.6667, 0.8920), Dy at (0.3333, 0.6667, 0.5028), Zn at (0.0006, 0.5003, 0.1991), Zn at (0.3360, 0.1680, 0.6953), Zn at (0.6667, 0.3333, 0.4456) and Zn at (0.6667, 0.3333, 0.9479).

=====

# 12
The following is a DFT calculation (PBE) of a geometry-optimized SmDyZn structure.

The density of states at the Fermi level comes out at 1.190 states/eV/atom. Its crystal system is trigonal. The value obtained for the relative energy among the computed polymorphs is 158.5 meV per atom.

The structure belongs to space group P3m1 (No. 156); the cell edges are 5.0065, 5.0065 and 3.7122 Å and the angles 90.00°, 90.00° and 120.00°. The asymmetric unit holds Sm at (0.0000, 0.0000, 0.0000), Dy at (0.3333, 0.6667, 0.5448) and Zn at (0.6667, 0.3333, 0.3136).

=====

# 13
The following is a DFT calculation (PBE) of a geometry-optimized SmDyZn4 structure.

The density of states at the Fermi level comes out at 0.439 states/eV/atom. Its crystal system is triclinic. The value obtained for the relative energy among the computed polymorphs is 374.9 meV per atom.

The structure belongs to space group P-1 (No. 2); the cell edges are 3.7806, 3.7812 and 9.8400 Å and the angles 90.11°, 90.37° and 90.02°. The asymmetric unit holds Sm at (0.0000, 0.0000, 0.0000), Dy at (0.5000, 0.5000, 0.5000), Zn at (0.0010, 0.4999, 0.7459) and Zn at (0.4991, 0.0004, 0.7459).

=====

# 14
The following is a DFT calculation (PBE) of a geometry-optimized Sm4Dy5Zn structure.

The density of states at the Fermi level comes out at 1.156 states/eV/atom. Its crystal system is tetragonal. The uncorrected energy is -43.713 eV per cell.

The structure belongs to space group P4/mmm (No. 123); the cell edges are 3.5778, 3.5778 and 23.9519 Å and the angles 90.00°, 90.00° and 90.00°. The asymmetric unit holds Sm at (0.0000, 0.0000, 0.1059), Sm at (0.0000, 0.0000, 0.3184), Dy at (0.5000, 0.5000, 0.0000), Dy at (0.5000, 0.5000, 0.2129), Dy at (0.5000, 0.5000, 0.4267) and Zn at (0.0000, 0.0000, 0.5000).

=====

# 15
The following is a DFT calculation (PBE) of a geometry-optimized Sm2Dy2Zn structure.

The density of states at the Fermi level comes out at 1.427 states/eV/atom. Its crystal system is tetragonal. The value obtained for the relative energy among the computed polymorphs is 141.4 meV per atom.

The structure belongs to space group I4_1/amd (No. 141, origin choice 2); the cell edges are 4.9945, 4.9945 and 24.6877 Å and the angles 90.00°, 90.00° and 90.00°. The asymmetric unit holds Sm at (0.0000, 0.2500, 0.0570), Dy at (0.0000, 0.2500, 0.1997) and Zn at (0.0000, 0.2500, 0.3750).

=====

# 16
The following is a DFT calculation (PBE) of a geometry-optimized Sm4Dy9Zn11 structure.

The density of states at the Fermi level comes out at 1.034 states/eV/atom. Its crystal system is orthorhombic. The uncorrected energy is -160.211 eV per cell.

The structure belongs to space group Cmmm (No. 65); the cell edges are 15.4075, 21.2455 and 3.4778 Å and the angles 90.00°, 90.00° and 90.00°. The asymmetric unit holds Sm at (0.1688, 0.0864, 0.0000), Dy at (0.0000, 0.0000, 0.0000), Dy at (0.1121, 0.4067, 0.0000), Dy at (0.1153, 0.2358, 0.0000), Zn at (0.0000, 0.1316, 0.5000), Zn at (0.0000, 0.3213, 0.5000), Zn at (0.0000, 0.5000, 0.5000), Zn at (0.2095, 0.5000, 0.5000) and Zn at (0.2320, 0.3171, 0.5000).

=====

# 17
The following is a DFT calculation (PBE) of a geometry-optimized Sm6DyZn structure.

The density of states at the Fermi level comes out at 1.335 states/eV/atom. Its crystal system is triclinic. The uncorrected energy is -33.910 eV per cell.

The structure belongs to space group P-1 (No. 2); the cell edges are 6.3568, 6.3574 and 6.3590 Å and the angles 95.57°, 95.61° and 95.51°. The asymmetric unit holds Sm at (0.0443, 0.2634, 0.0750), Sm at (0.2368, 0.9247, 0.4560), Sm at (0.4251, 0.4556, 0.7367), Dy at (0.5000, 0.0000, 0.0000) and Zn at (0.0000, 0.5000, 0.5000).

=====

# 18
The following is a DFT calculation (PBE) of a geometry-optimized SmDy6Zn structure.

The density of states at the Fermi level comes out at 1.201 states/eV/atom. Its crystal system is trigonal. The uncorrected energy is -99.784 eV per cell.

The structure belongs to space group R-3 (No. 148, hexagonal axes); the cell edges are 9.2801, 9.2801 and 9.7273 Å and the angles 90.00°, 90.00° and 120.00°. The asymmetric unit holds Sm at (0.0000, 0.0000, 0.0000), Dy at (0.0308, 0.7812, 0.7050) and Zn at (0.0000, 0.0000, 0.5000).

=====

# 19
The following is a DFT calculation (PBE) of a geometry-optimized SmDy5Zn4 structure.

The density of states at the Fermi level comes out at 1.170 states/eV/atom. Its crystal system is tetragonal. The uncorrected energy is -35.526 eV per cell.

The structure belongs to space group P4/mmm (No. 123); the cell edges are 3.5680, 3.5680 and 19.4027 Å and the angles 90.00°, 90.00° and 90.00°. The asymmetric unit holds Sm at (0.0000, 0.0000, 0.0000), Dy at (0.5000, 0.5000, 0.1334), Dy at (0.5000, 0.5000, 0.3171), Dy at (0.5000, 0.5000, 0.5000), Zn at (0.0000, 0.0000, 0.2247) and Zn at (0.0000, 0.0000, 0.4072).

=====

# 20
The following is a DFT calculation (PBE) of a geometry-optimized Sm6DyZn2 structure.

The density of states at the Fermi level comes out at 1.051 states/eV/atom. Its crystal system is monoclinic. The uncorrected energy is -73.403 eV per cell.

The structure belongs to space group C2/m (No. 12); the cell edges are 12.6641, 3.6852 and 11.9602 Å and the angles 90.00°, 109.57° and 90.00°. The asymmetric unit holds Sm at (0.0266, 0.0000, 0.3271), Sm at (0.1876, 0.5000, 0.5909), Sm at (0.1894, 0.5000, 0.8758), Dy at (0.0000, 0.0000, 0.0000) and Zn at (0.1451, 0.5000, 0.1973).

=====

# 21
The following is a DFT calculation (PBE) of a geometry-optimized Sm2Dy2Zn structure.

The density of states at the Fermi level comes out at 1.147 states/eV/atom. Its crystal system is tetragonal. The value obtained for the relative energy among the computed polymorphs is 0.0 meV per atom.

The structure belongs to space group I4/mmm (No. 139); the cell edges are 3.5822, 3.5822 and 22.5438 Å and the angles 90.00°, 90.00° and 90.00°. The asymmetric unit holds Sm at (0.0000, 0.0000, 0.1928), Dy at (0.0000, 0.0000, 0.4221) and Zn at (0.0000, 0.0000, 0.0000).

=====

# 22
The following is a DFT calculation (PBE) of a geometry-optimized Sm2Dy3Zn3 structure.

The density of states at the Fermi level comes out at 1.055 states/eV/atom. Its crystal system is orthorhombic. The uncorrected energy is -57.921 eV per cell.

The structure belongs to space group Immm (No. 71); the cell edges are 3.6398, 5.1670 and 21.6555 Å and the angles 90.00°, 90.00° and 90.00°. The asymmetric unit holds Sm at (0.0000, 0.0000, 0.2278), Dy at (0.0000, 0.0000, 0.0000), Dy at (0.0000, 0.5000, 0.1159), Zn at (0.0000, 0.0000, 0.5000) and Zn at (0.0000, 0.5000, 0.3874).

=====

# 23
The following is a DFT calculation (PBE) of a geometry-optimized SmDy7Zn4 structure.

The density of states at the Fermi level comes out at 1.127 states/eV/atom. Its crystal system is monoclinic. The uncorrected energy is -84.041 eV per cell.

The structure belongs to space group C2/m (No. 12); the cell edges are 13.9697, 5.5455 and 9.6739 Å and the angles 90.00°, 122.81° and 90.00°. The asymmetric unit holds Sm at (0.0000, 0.0000, 0.0000), Dy at (0.0000, 0.5000, 0.0000), Dy at (0.0711, 0.0000, 0.4066), Dy at (0.2083, 0.0000, 0.8800), Dy at (0.2224, 0.5000, 0.6727), Zn at (0.0400, 0.5000, 0.7301) and Zn at (0.1792, 0.5000, 0.3383).